## Ca6GeBi2 (PBE-GGA)

Data for crystalline Ca6GeBi2 at its relaxed geometry.

a = 7.4484 Å, b = 8.0292 Å, c = 12.9644 Å
α = 90.00°, β = 124.94°, γ = 90.00°
Last column: nearest neighbours and their distance in Å.
Fractional coordinates of all 18 atoms:
1 Ca 0.1362 0.1907 0.4499  1 Ge 2.84
2 Ca 0.1362 0.3093 0.9499  1 Ge 2.84
3 Ca 0.2654 0.6946 0.4524  1 Ge 2.87
4 Ca 0.2654 0.8054 0.9524  1 Ge 2.87
5 Ca 0.3415 0.0321 0.2437  1 Ge 2.83
6 Ca 0.3415 0.4679 0.7437  1 Ge 2.83
7 Ca 0.6585 0.5321 0.2563  1 Ge 2.83
8 Ca 0.6585 0.9679 0.7563  1 Ge 2.83
9 Ca 0.7346 0.1946 0.0476  1 Ge 2.87
10 Ca 0.7346 0.3054 0.5476  1 Ge 2.87
11 Ca 0.8638 0.6907 0.0501  1 Ge 2.84
12 Ca 0.8638 0.8093 0.5501  1 Ge 2.84
13 Ge 0.5000 0.0000 0.5000  6 Ca 2.83-2.87
14 Ge 0.5000 0.5000 0.0000  6 Ca 2.83-2.87
15 Bi 0.2292 0.0754 0.7526  7 Ca 3.27-3.64
16 Bi 0.2292 0.4246 0.2526  7 Ca 3.27-3.64
17 Bi 0.7708 0.5754 0.7474  7 Ca 3.27-3.64
18 Bi 0.7708 0.9246 0.2474  7 Ca 3.27-3.64

Properties
* calculated density: 3.82 g cm⁻³
* DOS at the Fermi energy: 0.10 states/eV/cell
* energy of formation: -596 meV/atom
* total moment: 0.000 μB per formula unit
* space group: P2_1/c, No. 14
* E_tot: -3.306 eV per atom

## HfZn3S (PBE-GGA)

Data for crystalline HfZn3S at its relaxed geometry.

a = 5.2565 Å, b = 5.2565 Å, c = 5.2565 Å
α = 90.00°, β = 90.00°, γ = 90.00°
Last column: nearest neighbours and their distance in Å.
Fractional coordinates of all 5 atoms:
1 Hf 0.0000 0.0000 0.0000  6 Zn 2.63
2 Zn 0.0000 0.0000 0.5000  2 Hf 2.63
3 Zn 0.0000 0.5000 0.0000  2 Hf 2.63
4 Zn 0.5000 0.0000 0.0000  2 Hf 2.63
5 S 0.5000 0.5000 0.5000  12 Zn 3.72

Properties
* calculated density: 4.65 g cm⁻³
* DOS at the Fermi energy: 2.94 states/eV/cell
* total moment: 0.000 μB per formula unit
* formation energy (no corrections): 1.104 eV per atom
* space group: Pm-3m, No. 221
* polymorph energy (0 for the lowest one): 496 meV per atom
* E_tot: -2.476 eV per atom

## Y2Al3Ag2 (PBE-GGA)

Data for crystalline Y2Al3Ag2 at its relaxed geometry.

a = 9.7353 Å, b = 9.7353 Å, c = 7.3938 Å
α = 90.00°, β = 90.00°, γ = 154.58°
Last column: nearest neighbours and their distance in Å.
Fractional coordinates of all 14 atoms:
1 Y 0.0517 0.9483 0.7500  9 Al 3.23-3.29
2 Y 0.1557 0.8443 0.2500  6 Al 3.10-3.12, 6 Ag 3.17-3.29
3 Y 0.8443 0.1557 0.7500  6 Al 3.10-3.12, 6 Ag 3.17-3.29
4 Y 0.9483 0.0517 0.2500  9 Al 3.23-3.29
5 Al 0.2247 0.7753 0.7500  6 Ag 2.67-2.78
6 Al 0.4406 0.5594 0.5755  2 Al 2.52-2.58, 1 Ag 2.64
7 Al 0.4406 0.5594 0.9245  2 Al 2.52-2.58, 1 Ag 2.64
8 Al 0.5594 0.4406 0.0755  2 Al 2.52-2.58, 1 Ag 2.64
9 Al 0.5594 0.4406 0.4245  2 Al 2.52-2.58, 1 Ag 2.64
10 Al 0.7753 0.2247 0.2500  6 Ag 2.67-2.78
11 Ag 0.3112 0.6888 0.0541  4 Al 2.64-2.78, 1 Ag 2.90
12 Ag 0.3112 0.6888 0.4459  4 Al 2.64-2.78, 1 Ag 2.90
13 Ag 0.6888 0.3112 0.5541  4 Al 2.64-2.78, 1 Ag 2.90
14 Ag 0.6888 0.3112 0.9459  4 Al 2.64-2.78, 1 Ag 2.90

Properties
* calculated density: 5.24 g cm⁻³
* DOS at the Fermi energy: 10.35 states/eV/cell
* energy of formation: -368 meV/atom
* total moment: 0.000 μB per formula unit
* space group: Cmcm, No. 63
* polymorph energy (0 for the lowest one): 34 meV per atom
* E_tot: -4.633 eV per atom

## La12NdY6 (PBE-GGA)

Data for crystalline La12NdY6 at its relaxed geometry.

a = 9.7502 Å, b = 9.7502 Å, c = 9.7502 Å
α = 110.94°, β = 110.94°, γ = 110.94°
Last column: nearest neighbours and their distance in Å.
Fractional coordinates of all 19 atoms:
1 La 0.0258 0.1833 0.2889  4 Y 3.66-3.71, 7 La 3.67-3.70, 1 Nd 3.69
2 La 0.1833 0.2889 0.0258  4 Y 3.66-3.71, 7 La 3.67-3.70, 1 Nd 3.69
3 La 0.2350 0.6585 0.6039  5 Y 3.65-3.70, 6 La 3.66-3.70, 1 Nd 3.70
4 La 0.2889 0.0258 0.1833  4 Y 3.66-3.71, 7 La 3.67-3.70, 1 Nd 3.69
5 La 0.3415 0.3961 0.7650  5 Y 3.65-3.70, 6 La 3.66-3.70, 1 Nd 3.70
6 La 0.3961 0.7650 0.3415  5 Y 3.65-3.70, 6 La 3.66-3.70, 1 Nd 3.70
7 La 0.6039 0.2350 0.6585  5 Y 3.65-3.70, 6 La 3.66-3.70, 1 Nd 3.70
8 La 0.6585 0.6039 0.2350  5 Y 3.65-3.70, 6 La 3.66-3.70, 1 Nd 3.70
9 La 0.7111 0.9742 0.8167  4 Y 3.66-3.71, 7 La 3.67-3.70, 1 Nd 3.69
10 La 0.7650 0.3415 0.3961  5 Y 3.65-3.70, 6 La 3.66-3.70, 1 Nd 3.70
11 La 0.8167 0.7111 0.9742  4 Y 3.66-3.71, 7 La 3.67-3.70, 1 Nd 3.69
12 La 0.9742 0.8167 0.7111  4 Y 3.66-3.71, 7 La 3.67-3.70, 1 Nd 3.69
13 Nd 0.5000 0.5000 0.5000  12 La 3.69-3.70
14 Y 0.0797 0.5505 0.8681  9 La 3.65-3.71, 3 Y 3.66-3.69
15 Y 0.1319 0.9203 0.4495  9 La 3.65-3.71, 3 Y 3.66-3.69
16 Y 0.4495 0.1319 0.9203  9 La 3.65-3.71, 3 Y 3.66-3.69
17 Y 0.5505 0.8681 0.0797  9 La 3.65-3.71, 3 Y 3.66-3.69
18 Y 0.8681 0.0797 0.5505  9 La 3.65-3.71, 3 Y 3.66-3.69
19 Y 0.9203 0.4495 0.1319  9 La 3.65-3.71, 3 Y 3.66-3.69

Properties
* calculated density: 5.79 g cm⁻³
* DOS at the Fermi energy: 32.34 states/eV/cell
* energy of formation: 20 meV/atom
* total moment: 0.000 μB per formula unit
* space group: R-3, No. 148
* E_tot: -5.384 eV per atom

## Ba2TlInRh (PBE-GGA)

Data for crystalline Ba2TlInRh at its relaxed geometry.

a = 6.0161 Å, b = 6.0161 Å, c = 5.2149 Å
α = 90.00°, β = 90.00°, γ = 90.00°
Last column: nearest neighbours and their distance in Å.
Fractional coordinates of all 5 atoms:
1 Ba 0.0000 0.5000 0.0000  2 Rh 3.01
2 Ba 0.5000 0.0000 0.0000  2 Rh 3.01
3 Tl 0.0000 0.0000 0.5000  8 Ba 3.98, 4 In 4.25
4 In 0.5000 0.5000 0.5000  2 Rh 2.61
5 Rh 0.5000 0.5000 0.0000  2 In 2.61

Properties
* calculated density: 6.13 g cm⁻³
* DOS at the Fermi energy: 5.83 states/eV/cell
* energy of formation: -266 meV/atom
* total moment: 0.000 μB per formula unit
* space group: P4/mmm, No. 123
* polymorph energy (0 for the lowest one): 0 meV per atom
* E_tot: -3.526 eV per atom

## CaPd3Au2 (PBE-GGA)

Data for crystalline CaPd3Au2 at its relaxed geometry.

a = 7.8961 Å, b = 7.8961 Å, c = 7.8961 Å
α = 43.69°, β = 43.69°, γ = 43.69°
Last column: nearest neighbours and their distance in Å.
Fractional coordinates of all 12 atoms:
1 Ca 0.2152 0.2152 0.2152  9 Pd 2.87-2.95, 3 Au 3.04
2 Ca 0.7848 0.7848 0.7848  9 Pd 2.87-2.95, 3 Au 3.04
3 Pd 0.2349 0.7190 0.7190  6 Pd 2.84-3.03, 3 Ca 2.87-2.95, 3 Au 2.87-2.92
4 Pd 0.2810 0.2810 0.7651  6 Pd 2.84-3.03, 3 Ca 2.87-2.95, 3 Au 2.87-2.92
5 Pd 0.2810 0.7651 0.2810  6 Pd 2.84-3.03, 3 Ca 2.87-2.95, 3 Au 2.87-2.92
6 Pd 0.7190 0.2349 0.7190  6 Pd 2.84-3.03, 3 Ca 2.87-2.95, 3 Au 2.87-2.92
7 Pd 0.7190 0.7190 0.2349  6 Pd 2.84-3.03, 3 Ca 2.87-2.95, 3 Au 2.87-2.92
8 Pd 0.7651 0.2810 0.2810  6 Pd 2.84-3.03, 3 Ca 2.87-2.95, 3 Au 2.87-2.92
9 Au 0.0000 0.0000 0.0000  6 Pd 2.92, 6 Au 2.94
10 Au 0.0000 0.5000 0.5000  4 Pd 2.87, 6 Au 2.94, 2 Ca 3.04
11 Au 0.5000 0.0000 0.5000  4 Pd 2.87, 6 Au 2.94, 2 Ca 3.04
12 Au 0.5000 0.5000 0.0000  4 Pd 2.87, 6 Au 2.94, 2 Ca 3.04

Properties
* calculated density: 11.73 g cm⁻³
* DOS at the Fermi energy: 4.71 states/eV/cell
* energy of formation: -376 meV/atom
* total moment: 0.000 μB per formula unit
* space group: R-3m, No. 166
* polymorph energy (0 for the lowest one): 71 meV per atom
* E_tot: -4.399 eV per atom